VASP calculation (GGA-PBEsol) on a relaxed Sn3BiF crystal.

The value obtained for the formation energy without anion corrections is -388 meV per atom. The value obtained for the total DFT energy (no corrections) is -4.19 eV per atom. The calculation puts the volume at 125 Å³ per cell. Its space-group type is Pm-3m, No. 221.

a = 4.998 Å, b = 4.998 Å, c = 4.998 Å
α = 90.00°, β = 90.00°, γ = 90.00°
Positions (direct):
F: 0.000 0.000 0.000
Bi: 0.500 0.500 0.500
Sn: 0.000 0.500 0.000
Sn: 0.000 0.000 0.500
Sn: 0.500 0.000 0.000

***

VASP calculation (GGA-PBEsol) on a relaxed Al2FeHg crystal.

The value obtained for the total DFT energy (no corrections) is -4.37 eV per atom. The calculation puts the volume at 59 Å³ per cell. Its space-group type is I-4m2, No. 119. As for the calculated formation energy: 0.059 eV/atom.

a = 3.786 Å, b = 3.786 Å, c = 4.888 Å
α = 112.79°, β = 112.79°, γ = 90.00°
Each line ends with the local moment (μB).
Positions (direct):
Al: 0.000 0.000 0.000  -0.01
Al: 0.750 0.250 0.500  -0.02
Hg: 0.250 0.750 0.500  -0.03
Fe: 0.500 0.500 0.000  1.02

***

VASP calculation (GGA-PBEsol) on a relaxed SiTcW crystal.

The value obtained for the formation energy without anion corrections is 132 meV per atom. The value obtained for the total DFT energy (no corrections) is -10.14 eV per atom. The calculation puts the volume at 49 Å³ per cell. Its space-group type is F-43m, No. 216.

a = 4.117 Å, b = 4.117 Å, c = 4.117 Å
α = 60.00°, β = 60.00°, γ = 60.00°
Positions (direct):
Si: 0.500 0.500 0.500
Tc: 0.250 0.250 0.250
W: 0.000 0.000 0.000

***

VASP calculation (GGA-PBEsol) on a relaxed Li2MnBe crystal.

The value obtained for the total DFT energy (no corrections) is -4.05 eV per atom. The calculation puts the volume at 43 Å³ per cell. Its space-group type is P4/mmm, No. 123. As for the calculated formation energy: 0.378 eV/atom.

a = 2.256 Å, b = 2.256 Å, c = 8.498 Å
α = 90.00°, β = 90.00°, γ = 90.00°
Positions (direct):
Be: 0.500 0.500 0.500
Mn: 0.500 0.500 0.000
Li: 0.000 0.000 0.745
Li: 0.000 0.000 0.255

***

VASP calculation (GGA-PBEsol) on a relaxed CaBe2Al crystal.

The value obtained for the total DFT energy (no corrections) is -3.21 eV per atom. The calculation puts the volume at 61 Å³ per cell. Its space-group type is F-43m, No. 216. As for the calculated formation energy: 0.351 eV/atom.

a = 4.430 Å, b = 4.430 Å, c = 4.430 Å
α = 60.00°, β = 60.00°, γ = 60.00°
Positions (direct):
Be: 0.000 0.000 0.000
Be: 0.250 0.250 0.250
Ca: 0.750 0.750 0.750
Al: 0.500 0.500 0.500

***

VASP calculation (GGA-PBEsol) on a relaxed AlAsI2N crystal.

The value obtained for the formation energy without anion corrections is 594 meV per atom. The value obtained for the total DFT energy (no corrections) is -3.66 eV per atom. The calculation puts the volume at 129 Å³ per cell. Its space-group type is P4/mmm, No. 123.

a = 3.660 Å, b = 5.933 Å, c = 5.933 Å
α = 90.00°, β = 90.00°, γ = 90.00°
Positions (direct):
I: 0.000 0.000 0.500
I: 0.000 0.500 0.000
As: 0.000 0.000 0.000
Al: 0.500 0.500 0.500
N: 0.500 0.000 0.000

***

VASP calculation (GGA-PBEsol) on a relaxed IrRu2Rh crystal.

The value obtained for the total DFT energy (no corrections) is -9.56 eV per atom. The calculation puts the volume at 54 Å³ per cell. Its space-group type is C2/m, No. 12. As for the calculated formation energy: 0.017 eV/atom.

a = 2.672 Å, b = 4.625 Å, c = 4.640 Å
α = 99.56°, β = 106.74°, γ = 90.00°
Positions (direct):
Ru: 0.249 0.249 0.498
Ru: 0.751 0.751 0.502
Ir: 0.500 0.000 0.000
Rh: 0.000 0.500 0.000

***

VASP calculation (GGA-PBEsol) on a relaxed AuSN2F crystal.

The value obtained for the formation energy without anion corrections is 1731 meV per atom. The value obtained for the total DFT energy (no corrections) is -3.73 eV per atom. The calculation puts the volume at 80 Å³ per cell. Its space-group type is P4/mmm, No. 123.

a = 3.966 Å, b = 3.966 Å, c = 5.113 Å
α = 90.00°, β = 90.00°, γ = 90.00°
Each line ends with the local moment (μB).
Positions (direct):
S: 0.000 0.000 0.500  0.95
N: 0.000 0.500 0.000  1.17
N: 0.500 0.000 0.000  1.17
Au: 0.000 0.000 0.000  0.30
F: 0.500 0.500 0.500  0.47

***

VASP calculation (GGA-PBEsol) on a relaxed SiSbAsI2 crystal.

The value obtained for the formation energy without anion corrections is 693 meV per atom. The value obtained for the total DFT energy (no corrections) is -3.10 eV per atom. The calculation puts the volume at 147 Å³ per cell. Its space-group type is P4/mmm, No. 123.

a = 5.201 Å, b = 5.201 Å, c = 5.445 Å
α = 90.00°, β = 90.00°, γ = 90.00°
Each line ends with the local moment (μB).
Positions (direct):
I: 0.000 0.500 0.000  0.01
I: 0.500 0.000 0.000  0.01
Sb: 0.000 0.000 0.500  -0.04
As: 0.500 0.500 0.500  0.20
Si: 0.000 0.000 0.000  0.00

***

VASP calculation (GGA-PBEsol) on a relaxed Cr2MoP crystal.

The value obtained for the total DFT energy (no corrections) is -9.42 eV per atom. The calculation puts the volume at 50 Å³ per cell. Its space-group type is Cmm2, No. 35. As for the calculated formation energy: 0.094 eV/atom.

a = 2.681 Å, b = 2.681 Å, c = 7.305 Å
α = 90.00°, β = 90.00°, γ = 108.19°
Positions (direct):
Cr: 0.000 0.000 0.010
Cr: 0.500 0.500 0.766
Mo: 0.000 0.000 0.492
P: 0.500 0.500 0.232

***

VASP calculation (GGA-PBEsol) on a relaxed LiZnCl2 crystal.

The value obtained for the formation energy without anion corrections is -863 meV per atom. The value obtained for the total DFT energy (no corrections) is -2.75 eV per atom. The calculation puts the volume at 80 Å³ per cell. Its space-group type is P2/m, No. 10.

a = 3.358 Å, b = 3.457 Å, c = 7.128 Å
α = 90.00°, β = 104.22°, γ = 90.00°
Positions (direct):
Cl: 0.173 0.000 0.282
Cl: 0.827 0.000 0.718
Li: 0.000 0.500 0.500
Zn: 0.000 0.500 0.000

***

VASP calculation (GGA-PBEsol) on a relaxed Ba3Mg crystal.

The value obtained for the total DFT energy (no corrections) is -2.01 eV per atom. The calculation puts the volume at 374 Å³ per cell. Its space-group type is P6_3/mmc, No. 194. As for the calculated formation energy: 0.035 eV/atom.

a = 6.528 Å, b = 8.129 Å, c = 8.129 Å
α = 120.00°, β = 90.00°, γ = 90.00°
Positions (direct):
Ba: 0.750 0.172 0.345
Ba: 0.250 0.828 0.655
Ba: 0.750 0.172 0.828
Ba: 0.250 0.828 0.172
Ba: 0.750 0.655 0.828
Ba: 0.250 0.345 0.172
Mg: 0.750 0.667 0.333
Mg: 0.250 0.333 0.667

***

VASP calculation (GGA-PBEsol) on a relaxed Mo3Se crystal.

The value obtained for the formation energy without anion corrections is 162 meV per atom. The value obtained for the total DFT energy (no corrections) is -9.63 eV per atom. The calculation puts the volume at 60 Å³ per cell. Its space-group type is Immm, No. 71.

a = 3.121 Å, b = 4.268 Å, c = 5.222 Å
α = 114.12°, β = 107.39°, γ = 90.00°
Positions (direct):
Mo: 0.743 0.743 0.485
Mo: 0.500 0.000 0.000
Mo: 0.257 0.257 0.515
Se: 0.000 0.500 0.000

***

VASP calculation (GGA-PBEsol) on a relaxed KSiSe crystal.

The value obtained for the formation energy without anion corrections is -149 meV per atom. The value obtained for the total DFT energy (no corrections) is -3.73 eV per atom. The calculation puts the volume at 85 Å³ per cell. Its space-group type is P3m1, No. 156.

a = 4.155 Å, b = 4.155 Å, c = 5.699 Å
α = 90.00°, β = 90.00°, γ = 120.00°
Positions (direct):
K: 0.000 0.000 0.989
Si: 0.333 0.667 0.426
Se: 0.667 0.333 0.585

***

VASP calculation (GGA-PBEsol) on a relaxed NaPb3I crystal.

The value obtained for the formation energy without anion corrections is 488 meV per atom. The value obtained for the total DFT energy (no corrections) is -2.54 eV per atom. The calculation puts the volume at 212 Å³ per cell. Its space-group type is Pm-3m, No. 221.

a = 5.966 Å, b = 5.966 Å, c = 5.966 Å
α = 90.00°, β = 90.00°, γ = 90.00°
Positions (direct):
Pb: 0.000 0.500 0.000
Pb: 0.000 0.000 0.500
Pb: 0.500 0.000 0.000
I: 0.000 0.000 0.000
Na: 0.500 0.500 0.500

***

VASP calculation (GGA-PBEsol) on a relaxed Li3AlGe crystal.

The value obtained for the total DFT energy (no corrections) is -2.78 eV per atom. The calculation puts the volume at 105 Å³ per cell. Its space-group type is Pm-3m, No. 221. As for the calculated formation energy: 0.210 eV/atom.

a = 4.717 Å, b = 4.717 Å, c = 4.717 Å
α = 90.00°, β = 90.00°, γ = 90.00°
Positions (direct):
Ge: 0.000 0.000 0.000
Al: 0.500 0.500 0.500
Li: 0.000 0.500 0.000
Li: 0.000 0.000 0.500
Li: 0.500 0.000 0.000

***

VASP calculation (GGA-PBEsol) on a relaxed Y2HgRh crystal.

The value obtained for the total DFT energy (no corrections) is -6.23 eV per atom. The calculation puts the volume at 90 Å³ per cell. Its space-group type is Amm2, No. 38. As for the calculated formation energy: -0.640 eV/atom.

a = 3.734 Å, b = 4.517 Å, c = 5.678 Å
α = 90.00°, β = 109.24°, γ = 90.00°
Positions (direct):
Y: 0.015 0.000 0.904
Y: 0.727 0.500 0.329
Rh: 0.464 0.500 0.803
Hg: 0.295 0.000 0.464

***

VASP calculation (GGA-PBEsol) on a relaxed K2BaCd crystal.

The value obtained for the total DFT energy (no corrections) is -1.46 eV per atom. The calculation puts the volume at 200 Å³ per cell. Its space-group type is P4mm, No. 99. As for the calculated formation energy: -0.054 eV/atom.

a = 4.286 Å, b = 4.286 Å, c = 10.864 Å
α = 90.00°, β = 90.00°, γ = 90.00°
Positions (direct):
K: 0.000 0.000 0.936
K: 0.500 0.500 0.259
Ba: 0.000 0.000 0.572
Cd: 0.500 0.500 0.733

***

VASP calculation (GGA-PBEsol) on a relaxed Fe2NiAg crystal.

The value obtained for the total DFT energy (no corrections) is -6.64 eV per atom. The calculation puts the volume at 50 Å³ per cell. Its space-group type is P4mm, No. 99. As for the calculated formation energy: 0.209 eV/atom.

a = 2.582 Å, b = 2.582 Å, c = 7.438 Å
α = 90.00°, β = 90.00°, γ = 90.00°
Each line ends with the local moment (μB).
Positions (direct):
Ag: 0.500 0.500 0.744  0.02
Fe: 0.000 0.000 0.021  2.69
Fe: 0.500 0.500 0.260  2.53
Ni: 0.000 0.000 0.475  0.54

***

VASP calculation (GGA-PBEsol) on a relaxed Na2Sb2Au crystal.

The value obtained for the formation energy without anion corrections is -307 meV per atom. The value obtained for the total DFT energy (no corrections) is -3.47 eV per atom. The calculation puts the volume at 260 Å³ per cell. Its space-group type is P4/mbm, No. 127.

a = 5.087 Å, b = 7.153 Å, c = 7.153 Å
α = 90.00°, β = 90.00°, γ = 90.00°
Positions (direct):
Sb: 0.000 0.355 0.855
Sb: 0.000 0.855 0.645
Sb: 0.000 0.645 0.145
Sb: 0.000 0.145 0.355
Au: 0.000 0.000 0.000
Au: 0.000 0.500 0.500
Na: 0.500 0.168 0.668
Na: 0.500 0.668 0.832
Na: 0.500 0.832 0.332
Na: 0.500 0.332 0.168

***

VASP calculation (GGA-PBEsol) on a relaxed Zn3Ag crystal.

The value obtained for the total DFT energy (no corrections) is -2.03 eV per atom. The calculation puts the volume at 58 Å³ per cell. Its space-group type is Pm-3m, No. 221. As for the calculated formation energy: -0.019 eV/atom.

a = 3.869 Å, b = 3.869 Å, c = 3.869 Å
α = 90.00°, β = 90.00°, γ = 90.00°
Positions (direct):
Zn: 0.000 0.500 0.500
Zn: 0.500 0.000 0.500
Zn: 0.500 0.500 0.000
Ag: 0.000 0.000 0.000

***

VASP calculation (GGA-PBEsol) on a relaxed MoAs2Ir crystal.

The value obtained for the total DFT energy (no corrections) is -7.92 eV per atom. The calculation puts the volume at 59 Å³ per cell. Its space-group type is P4/mmm, No. 123. As for the calculated formation energy: 0.030 eV/atom.

a = 3.108 Å, b = 3.108 Å, c = 6.090 Å
α = 90.00°, β = 90.00°, γ = 90.00°
Positions (direct):
Mo: 0.500 0.500 0.500
Ir: 0.500 0.500 0.000
As: 0.000 0.000 0.739
As: 0.000 0.000 0.261

***

VASP calculation (GGA-PBEsol) on a relaxed SrCa2Cu crystal.

The value obtained for the total DFT energy (no corrections) is -2.58 eV per atom. The calculation puts the volume at 130 Å³ per cell. Its space-group type is P4/mmm, No. 123. As for the calculated formation energy: 0.026 eV/atom.

a = 3.671 Å, b = 3.671 Å, c = 9.614 Å
α = 90.00°, β = 90.00°, γ = 89.95°
Positions (direct):
Sr: 0.500 0.500 0.000
Ca: 0.000 0.000 0.327
Ca: 0.000 0.000 0.673
Cu: 0.500 0.500 0.500

***

VASP calculation (GGA-PBEsol) on a relaxed SiRh2Br crystal.

The value obtained for the formation energy without anion corrections is -248 meV per atom. The value obtained for the total DFT energy (no corrections) is -6.22 eV per atom. The calculation puts the volume at 60 Å³ per cell. Its space-group type is P4/mmm, No. 123.

a = 2.916 Å, b = 2.916 Å, c = 7.004 Å
α = 90.00°, β = 90.00°, γ = 90.08°
Positions (direct):
Br: 0.500 0.500 0.000
Rh: 0.000 0.000 0.306
Rh: 0.000 0.000 0.694
Si: 0.500 0.500 0.500

***

VASP calculation (GGA-PBEsol) on a relaxed Na11TiNb2Si4P2O26 crystal.

The value obtained for the formation energy without anion corrections is -2390 meV per atom. The value obtained for the total DFT energy (no corrections) is -7.09 eV per atom. The calculation puts the volume at 574 Å³ per cell. Its space-group type is P1, No. 1.

a = 5.528 Å, b = 7.197 Å, c = 14.501 Å
α = 92.57°, β = 95.64°, γ = 90.72°
Each line ends with the local moment (μB).
Positions (direct):
Na: 0.515 0.763 0.499  0.00
Na: 0.491 0.257 0.495  0.00
Na: 0.292 0.009 0.266  0.00
Na: 0.703 0.989 0.739  0.00
Na: 0.805 0.490 0.134  0.00
Na: 0.192 0.506 0.866  0.00
Na: 0.001 0.504 0.499  0.00
Na: 0.751 0.264 0.923  0.00
Na: 0.243 0.736 0.079  0.00
Na: 0.815 0.015 0.099  0.00
Na: 0.180 0.981 0.899  0.00
Ti: 0.029 0.003 0.491  -0.03
Nb: 0.696 0.509 0.717  0.00
Nb: 0.300 0.495 0.282  0.00
Si: 0.797 0.205 0.315  0.00
Si: 0.193 0.797 0.686  0.00
Si: 0.821 0.781 0.301  0.00
Si: 0.180 0.220 0.695  0.00
P: 0.684 0.742 0.934  0.00
P: 0.309 0.254 0.067  0.00
O: 0.742 0.568 0.870  0.00
O: 0.250 0.429 0.130  0.00
O: 0.585 0.256 0.058  0.00
O: 0.408 0.742 0.943  0.00
O: 0.572 0.672 0.255  0.00
O: 0.428 0.329 0.743  0.00
O: 0.943 0.301 0.743  0.00
O: 0.057 0.702 0.251  0.00
O: 0.533 0.287 0.281  0.00
O: 0.457 0.712 0.718  0.01
O: 0.983 0.686 0.733  0.00
O: 0.010 0.322 0.273  0.00
O: 0.827 0.723 0.031  0.00
O: 0.166 0.272 0.970  0.00
O: 0.764 0.927 0.894  0.00
O: 0.231 0.071 0.109  0.00
O: 0.783 0.970 0.587  0.68
O: 0.277 0.002 0.425  0.01
O: 0.794 0.996 0.262  0.00
O: 0.210 0.008 0.736  0.00
O: 0.682 0.489 0.592  0.00
O: 0.323 0.519 0.407  0.00
O: 0.848 0.791 0.413  0.00
O: 0.169 0.213 0.583  0.01
O: 0.836 0.196 0.427  0.01
O: 0.151 0.800 0.574  0.14

***

VASP calculation (GGA-PBEsol) on a relaxed CoReI2 crystal.

The value obtained for the formation energy without anion corrections is 1261 meV per atom. The value obtained for the total DFT energy (no corrections) is -4.89 eV per atom. The calculation puts the volume at 72 Å³ per cell. Its space-group type is Fm-3m, No. 225.

a = 4.676 Å, b = 4.676 Å, c = 4.676 Å
α = 60.00°, β = 60.00°, γ = 60.00°
Each line ends with the local moment (μB).
Positions (direct):
I: 0.250 0.250 0.250  0.01
I: 0.750 0.750 0.750  0.01
Re: 0.500 0.500 0.500  0.19
Co: 0.000 0.000 0.000  1.43

***

VASP calculation (GGA-PBEsol) on a relaxed CsHoZnSe3 crystal.

The value obtained for the formation energy without anion corrections is -1413 meV per atom. The value obtained for the total DFT energy (no corrections) is -4.58 eV per atom. The calculation puts the volume at 347 Å³ per cell. Its space-group type is Cmcm, No. 63.

a = 4.080 Å, b = 8.165 Å, c = 10.758 Å
α = 90.00°, β = 90.00°, γ = 104.47°
Positions (direct):
Cs: 0.744 0.488 0.750
Cs: 0.256 0.512 0.250
Zn: 0.462 0.925 0.750
Zn: 0.538 0.075 0.250
Ho: 0.000 0.000 0.500
Ho: 0.000 0.000 0.000
Se: 0.382 0.764 0.558
Se: 0.618 0.236 0.442
Se: 0.618 0.236 0.058
Se: 0.382 0.764 0.942
Se: 0.057 0.114 0.750
Se: 0.943 0.886 0.250